Entry 1:
A plane-wave DFT calculation with GGA-PBE was carried out for Cd2IrPbC after structural relaxation.

## Properties
E   -2.504 eV per atom

abc: 5.578 5.578 4.174
angles: 90.00 90.00 90.00
Atoms (fractional coordinates):
Cd (0.000, 0.500, 0.000)
Cd (0.500, 0.000, 0.000)
Ir (0.000, 0.000, 0.500)
Pb (0.500, 0.500, 0.000)
C (0.500, 0.500, 0.500)

Entry 2:
A plane-wave DFT calculation with GGA-PBE was carried out for Pm2CdIrC after structural relaxation.

## Properties
E   -6.135 eV per atom

abc: 5.276 5.276 3.896
angles: 90.00 90.00 90.00
Atoms (fractional coordinates):
Pm (0.000, 0.500, 0.000)
Pm (0.500, 0.000, 0.000)
Cd (0.000, 0.000, 0.500)
Ir (0.500, 0.500, 0.500)
C (0.500, 0.500, 0.000)

Entry 3:
A plane-wave DFT calculation with GGA-PBE was carried out for Rb2CdIrC after structural relaxation.

## Properties
E   -2.395 eV per atom

abc: 6.821 6.821 5.084
angles: 90.00 90.00 90.00
Atoms (fractional coordinates):
Rb (0.000, 0.500, 0.000)
Rb (0.500, 0.000, 0.000)
Cd (0.000, 0.000, 0.000)
Ir (0.000, 0.000, 0.500)
C (0.500, 0.500, 0.500)

Entry 4:
A plane-wave DFT calculation with GGA-PBE was carried out for CdIrRh2C after structural relaxation.

## Properties
E   -6.675 eV per atom

abc: 4.159 4.159 4.070
angles: 90.00 90.00 90.00
Atoms (fractional coordinates):
Cd (0.000, 0.000, 0.000)
Ir (0.500, 0.500, 0.000)
Rh (0.000, 0.500, 0.500)
Rh (0.500, 0.000, 0.500)
C (0.500, 0.500, 0.500)

Entry 5:
A plane-wave DFT calculation with GGA-PBE was carried out for CdTcIr2C after structural relaxation.

## Properties
E   -4.996 eV per atom

abc: 4.651 4.651 5.232
angles: 90.00 90.00 90.00
Atoms (fractional coordinates):
Cd (0.000, 0.000, 0.000)
Tc (0.000, 0.000, 0.500)
Ir (0.000, 0.500, 0.500)
Ir (0.500, 0.000, 0.500)
C (0.500, 0.500, 0.000)

Entry 6:
A plane-wave DFT calculation with GGA-PBE was carried out for TlCd2IrC after structural relaxation.

## Properties
E   -2.934 eV per atom

abc: 5.231 5.231 5.246
angles: 90.00 90.00 90.00
Atoms (fractional coordinates):
Tl (0.000, 0.000, 0.000)
Cd (0.000, 0.500, 0.500)
Cd (0.500, 0.000, 0.500)
Ir (0.000, 0.000, 0.500)
C (0.500, 0.500, 0.000)

Entry 7:
A plane-wave DFT calculation with GGA-PBE was carried out for KCdC3 after structural relaxation.

## Properties
E   -1.972 eV per atom
Energy relative to the lowest polymorph listed for this composition   4.88 eV/f.u.

abc: 5.416 5.416 5.416
angles: 90.00 90.00 90.00
Atoms (fractional coordinates):
K (0.000, 0.000, 0.000)
Cd (0.500, 0.500, 0.500)
C (0.000, 0.000, 0.500)
C (0.000, 0.500, 0.000)
C (0.500, 0.000, 0.000)

Entry 8:
A plane-wave DFT calculation with GGA-PBE was carried out for KCdC after structural relaxation.

## Properties
E   -3.412 eV per atom
Energy relative to the lowest polymorph listed for this composition   0.33 eV/f.u.

abc: 12.758 5.679 6.040
angles: 90.00 115.57 90.00
Atoms (fractional coordinates):
K (0.000, 0.000, 0.000)
K (0.001, 0.500, 0.500)
K (0.500, 0.500, 0.000)
K (0.501, 0.000, 0.500)
Cd (0.245, 0.000, 0.874)
Cd (0.255, 0.500, 0.128)
Cd (0.745, 0.500, 0.874)
Cd (0.755, 0.000, 0.128)
C (0.055, 0.000, 0.562)
C (0.446, 0.500, 0.440)
C (0.555, 0.500, 0.562)
C (0.946, 0.000, 0.440)

Entry 9:
A plane-wave DFT calculation with GGA-PBE was carried out for KCdC after structural relaxation.

## Properties
E   -3.441 eV per atom
Energy relative to the lowest polymorph listed for this composition   0.24 eV/f.u.

abc: 9.007 4.936 9.436
angles: 90.00 108.56 90.00
Atoms (fractional coordinates):
K (0.000, 0.000, 0.000)
K (0.185, 0.000, 0.601)
K (0.500, 0.500, 0.000)
K (0.685, 0.500, 0.601)
Cd (0.252, 0.500, 0.295)
Cd (0.411, 0.000, 0.244)
Cd (0.752, 0.000, 0.295)
Cd (0.911, 0.500, 0.244)
C (0.340, 0.500, 0.545)
C (0.388, 0.500, 0.686)
C (0.840, 0.000, 0.545)
C (0.888, 0.000, 0.686)

Entry 10:
A plane-wave DFT calculation with GGA-PBE was carried out for KCdC after structural relaxation.

## Properties
E   -3.439 eV per atom
Energy relative to the lowest polymorph listed for this composition   0.24 eV/f.u.

abc: 4.988 5.019 8.021
angles: 72.75 72.58 61.88
Atoms (fractional coordinates):
K (0.213, 0.213, 0.359)
K (0.787, 0.787, 0.641)
Cd (0.354, 0.351, 0.923)
Cd (0.646, 0.649, 0.077)
C (0.469, 0.464, 0.584)
C (0.531, 0.536, 0.416)

Entry 11:
A plane-wave DFT calculation with GGA-PBE was carried out for K2CdC after structural relaxation.

## Properties
E   -2.335 eV per atom
Energy relative to the lowest polymorph listed for this composition   0.00 eV/f.u.

abc: 12.045 12.045 4.173
angles: 90.00 90.00 90.00
Atoms (fractional coordinates):
K (0.040, 0.250, 0.125)
K (0.250, 0.540, 0.375)
K (0.250, 0.960, 0.875)
K (0.460, 0.250, 0.625)
K (0.540, 0.750, 0.625)
K (0.750, 0.040, 0.875)
K (0.750, 0.460, 0.375)
K (0.960, 0.750, 0.125)
Cd (0.000, 0.000, 0.500)
Cd (0.000, 0.500, 0.750)
Cd (0.500, 0.000, 0.250)
Cd (0.500, 0.500, 0.000)
C (0.000, 0.000, 0.000)
C (0.000, 0.500, 0.250)
C (0.500, 0.000, 0.750)
C (0.500, 0.500, 0.500)

Entry 12:
A plane-wave DFT calculation with GGA-PBE was carried out for KCdC after structural relaxation.

## Properties
E   -3.355 eV per atom
Energy relative to the lowest polymorph listed for this composition   0.49 eV/f.u.

abc: 11.127 4.922 7.061
angles: 90.00 119.44 90.00
Atoms (fractional coordinates):
K (0.000, 0.000, 0.000)
K (0.139, 0.500, 0.704)
K (0.500, 0.500, 0.000)
K (0.639, 0.000, 0.704)
Cd (0.275, 0.500, 0.354)
Cd (0.358, 0.000, 0.187)
Cd (0.775, 0.000, 0.354)
Cd (0.858, 0.500, 0.187)
C (0.331, 0.129, 0.601)
C (0.331, 0.871, 0.601)
C (0.831, 0.371, 0.601)
C (0.831, 0.629, 0.601)

Entry 13:
A plane-wave DFT calculation with GGA-PBE was carried out for KCdC3 after structural relaxation.

## Properties
E   -2.949 eV per atom
Energy relative to the lowest polymorph listed for this composition   0.00 eV/f.u.

abc: 4.528 4.528 4.528
angles: 90.00 90.00 90.00
Atoms (fractional coordinates):
K (0.000, 0.000, 0.000)
Cd (0.500, 0.500, 0.500)
C (0.000, 0.500, 0.500)
C (0.500, 0.000, 0.500)
C (0.500, 0.500, 0.000)

Entry 14:
A plane-wave DFT calculation with GGA-PBE was carried out for KCdC after structural relaxation.

## Properties
E   -3.520 eV per atom
Energy relative to the lowest polymorph listed for this composition   0.00 eV/f.u.

abc: 8.726 5.096 7.535
angles: 90.00 112.99 90.00
Atoms (fractional coordinates):
K (0.108, 0.000, 0.328)
K (0.392, 0.500, 0.672)
K (0.608, 0.500, 0.328)
K (0.892, 0.000, 0.672)
Cd (0.147, 0.500, 0.941)
Cd (0.353, 0.000, 0.059)
Cd (0.647, 0.000, 0.941)
Cd (0.853, 0.500, 0.059)
C (0.030, 0.500, 0.591)
C (0.470, 0.000, 0.409)
C (0.530, 0.000, 0.591)
C (0.970, 0.500, 0.409)

Number 1: E_form 2.2208 eV/atom. Number 2: E_form -0.4348 eV/atom. Number 3: E_form 1.7924 eV/atom. Number 4: E_form 0.0652 eV/atom. Number 5: E_form 2.6492 eV/atom. Number 6: E_form 1.5224 eV/atom. Number 7: E_form 3.9649 eV/atom. Number 8: E_form 0.3339 eV/atom. Number 9: E_form 0.3046 eV/atom. Number 10: E_form 0.3069 eV/atom. Number 11: E_form 0.7482 eV/atom. Number 12: E_form 0.3902 eV/atom. Number 13: E_form 2.9883 eV/atom. Number 14: E_form 0.2255 eV/atom.